(1)
DFT (PBE) results for a relaxed structure of Co2AgPd2.

Geometry as POSCAR:
```
Co2AgPd2
1.0
-1.053 1.604 7.092
-7.176 0.924 -1.275
-0.434 -2.635 0.532
Pd Ag Co
4 2 4
Cartesian
-1.858 -0.639 2.288
-3.360 0.288 5.661
-6.805 0.532 4.060
-5.303 -0.395 0.687
-4.115 1.264 2.908
0.000 0.000 0.000
-5.318 1.991 5.530
-2.912 0.537 0.287
-6.794 1.447 1.628
-1.436 1.081 4.188
```

Values from the calculation:
Energy relative to the lowest polymorph listed for this composition ... 0 meV per atom
SG ... No. 127
Calculated volume ... 14.70 Å³ per atom
D(E_F) ... 9.76 states/eV per cell
DFT formation energy ... 0.89 eV per formula unit

(2)
DFT (PBE) results for a relaxed structure of Nd2MgSe.

Geometry as POSCAR:
```
Nd2MgSe
1.0
4.045 0.000 0.000
2.023 3.503 0.000
2.023 1.168 8.684
Mg Nd Se
1 2 1
Cartesian
4.045 2.336 4.352
2.023 1.168 1.780
2.023 1.168 6.913
6.068 3.503 8.666
```

Values from the calculation:
Energy relative to the lowest polymorph listed for this composition ... 61 meV per atom
SG ... No. 160
Calculated volume ... 30.77 Å³ per atom
D(E_F) ... 3.98 states/eV per cell
Formation energy without anion corrections ... -0.80 eV/atom

(3)
DFT (PBE) results for a relaxed structure of Ba2LiAu.

Geometry as POSCAR:
```
Ba2LiAu
1.0
-2.852 1.675 2.226
-2.470 -2.994 -0.912
2.958 -4.666 7.302
Ba Au Li
2 1 1
Cartesian
2.700 -4.258 6.663
-1.712 -2.156 3.000
-0.625 -3.870 5.682
1.711 -2.698 4.223
```

Values from the calculation:
Energy relative to the lowest polymorph listed for this composition ... 141 meV per atom
SG ... No. 99
Calculated volume ... 36.39 Å³ per atom
D(E_F) ... 4.03 states/eV per cell
DFT formation energy ... -1.08 eV per formula unit

(4)
DFT (PBE) results for a relaxed structure of Co3Sn5Ge.

Geometry as POSCAR:
```
Co3Sn5Ge
1.0
6.973 -0.219 0.471
1.698 6.767 0.471
3.131 2.364 8.251
Sn Co Ge
10 6 2
Cartesian
4.969 3.752 3.415
6.392 1.700 5.745
3.198 4.780 0.471
3.385 5.682 5.745
5.411 7.212 3.448
5.128 3.872 8.391
6.833 5.160 5.779
6.675 5.040 0.802
5.473 1.767 0.471
8.417 3.230 3.448
7.064 5.334 3.245
8.322 6.284 7.454
0.000 0.000 0.000
4.738 3.578 5.948
3.481 2.628 1.740
1.566 1.182 4.126
8.907 6.726 3.383
2.895 2.186 5.811
```

Values from the calculation:
SG ... No. 12
Calculated volume ... 20.90 Å³ per atom
D(E_F) ... 11.68 states/eV per cell
DFT formation energy ... -0.47 eV per formula unit

(5)
DFT (PBE) results for a relaxed structure of PmInHgPb.

Geometry as POSCAR:
```
PmInHgPb
1.0
-2.134 -1.875 -3.729
1.880 -4.170 1.021
-3.869 -1.070 2.752
Hg Pb In Pm
1 1 1 1
Cartesian
-0.127 -3.023 -1.354
-0.995 -2.620 1.887
0.000 0.000 0.000
-3.001 -1.473 -0.489
```

Values from the calculation:
Energy relative to the lowest polymorph listed for this composition ... 0 meV per atom
SG ... No. 47
Calculated volume ... 26.73 Å³ per atom
D(E_F) ... 1.41 states/eV per cell
DFT formation energy ... -1.67 eV per formula unit

(6)
DFT (PBE) results for a relaxed structure of U3Tl3CrS8.

Geometry as POSCAR:
```
U3Tl3CrS8
1.0
7.756 0.000 0.000
-3.878 6.716 -0.030
0.000 -4.446 7.737
U S Tl Cr
3 8 3 1
Cartesian
1.939 1.135 3.854
-1.939 1.135 3.853
3.878 -2.223 3.868
-2.033 3.435 5.287
0.000 2.247 2.291
5.912 -1.164 2.420
3.878 2.357 2.405
0.000 -0.086 5.302
1.845 -1.164 2.420
2.034 3.435 5.287
3.878 0.023 5.416
-1.939 3.358 -0.015
0.000 0.000 0.000
1.939 3.358 -0.015
0.000 -2.223 3.868
```

Values from the calculation:
SG ... No. 166
Calculated volume ... 26.80 Å³ per atom
D(E_F) ... 13.30 states/eV per cell
Formation energy without anion corrections ... -0.97 eV/atom

Question: The lowest calculated volume belongs to which entry?
Answer: Co2AgPd2

Question: What is the formula in the sixth record?
Answer: U3Tl3CrS8

Repeat the first record exactly.
DFT (PBE) results for a relaxed structure of Co2AgPd2.

Geometry as POSCAR:
```
Co2AgPd2
1.0
-1.053 1.604 7.092
-7.176 0.924 -1.275
-0.434 -2.635 0.532
Pd Ag Co
4 2 4
Cartesian
-1.858 -0.639 2.288
-3.360 0.288 5.661
-6.805 0.532 4.060
-5.303 -0.395 0.687
-4.115 1.264 2.908
0.000 0.000 0.000
-5.318 1.991 5.530
-2.912 0.537 0.287
-6.794 1.447 1.628
-1.436 1.081 4.188
```

Values from the calculation:
Energy relative to the lowest polymorph listed for this composition ... 0 meV per atom
SG ... No. 127
Calculated volume ... 14.70 Å³ per atom
D(E_F) ... 9.76 states/eV per cell
DFT formation energy ... 0.89 eV per formula unit